Below is a relaxed structure of Lu2Si2O7, with properties calculated at the PBE level.

Cell and atoms, written as POSCAR:
```
Lu2Si2O7
1.0
5.5798 -0.0024 -0.0006
-1.4756 5.3812 -0.0006
0.6119 0.8019 4.6519
Si Lu O
2 2 7
direct
0.7795 0.7795 0.4093
0.2205 0.2205 0.5907
0.3085 0.6915 0.0000
0.6915 0.3085 0.0000
0.3881 0.0832 0.7830
0.9168 0.6119 0.2170
0.6119 0.9168 0.2170
0.0832 0.3881 0.7830
0.0000 0.0000 0.5000
0.3861 0.3861 0.2841
0.6139 0.6139 0.7159
```

***

Below is a relaxed structure of Sm3Lu5O12, with properties calculated at the PBE level.

Cell and atoms, written as POSCAR:
```
Sm3Lu5O12
1.0
-4.1898 4.2550 -9.9133
5.5761 -9.9189 -2.1107
-8.7234 -1.9664 7.3463
Lu O Sm
20 48 12
direct
0.1250 0.3750 0.2500
0.0000 0.5000 0.0000
0.0000 0.0000 0.0000
0.3750 0.2500 0.1250
0.5000 0.0000 0.5000
0.5000 0.5000 0.0000
0.1250 0.7500 0.3750
0.7500 0.1250 0.8750
0.7500 0.6250 0.3750
0.3750 0.1250 0.7500
0.6250 0.8750 0.2500
0.5000 0.5000 0.5000
0.5000 0.0000 0.0000
0.0000 0.0000 0.5000
0.2500 0.3750 0.6250
0.2500 0.8750 0.1250
0.0000 0.5000 0.5000
0.8750 0.2500 0.6250
0.6250 0.7500 0.8750
0.8750 0.6250 0.7500
0.7144 0.1290 0.0391
0.3246 0.5391 0.4101
0.9609 0.3710 0.2856
0.5391 0.2144 0.1290
0.5855 0.7144 0.6754
0.9609 0.5899 0.1754
0.3246 0.7856 0.4145
0.0899 0.9145 0.1290
0.5899 0.9609 0.6754
0.7144 0.5855 0.1754
0.7856 0.4609 0.3710
0.8246 0.9101 0.0391
0.1290 0.7144 0.5391
0.3710 0.4101 0.0855
0.0855 0.9101 0.3710
0.4145 0.1290 0.5899
0.0855 0.1754 0.2144
0.4609 0.6754 0.0899
0.8246 0.9145 0.2856
0.1290 0.4145 0.0899
0.3710 0.9609 0.7856
0.5899 0.6290 0.4145
0.9101 0.8246 0.5391
0.7856 0.3246 0.9145
0.4101 0.3710 0.5855
0.0899 0.1754 0.4609
0.2144 0.6754 0.0855
0.1754 0.0855 0.7144
0.6290 0.0391 0.2144
0.8710 0.5855 0.9101
0.5391 0.3246 0.9101
0.5855 0.8710 0.4101
0.9145 0.8246 0.7856
0.9145 0.0899 0.6290
0.8710 0.2856 0.4609
0.1754 0.0899 0.9609
0.6290 0.5899 0.9145
0.4101 0.0391 0.3246
0.2856 0.4145 0.8246
0.2144 0.5391 0.6290
0.9101 0.0855 0.8710
0.6754 0.2144 0.5855
0.4609 0.7856 0.8710
0.0391 0.4101 0.8246
0.4145 0.2856 0.3246
0.0391 0.6290 0.7144
0.6754 0.4609 0.5899
0.2856 0.8710 0.9609
0.7500 0.3750 0.1250
0.8750 0.7500 0.1250
0.3750 0.7500 0.6250
0.2500 0.1250 0.3750
0.8750 0.1250 0.2500
0.3750 0.6250 0.2500
0.6250 0.3750 0.7500
0.1250 0.8750 0.7500
0.7500 0.8750 0.6250
0.6250 0.2500 0.3750
0.1250 0.2500 0.8750
0.2500 0.6250 0.8750
```

***

Below is a relaxed structure of Sm3LuO, with properties calculated at the PBE level.

Cell and atoms, written as POSCAR:
```
Sm3LuO
1.0
-4.3142 -2.4004 -0.8623
2.4402 -4.3775 -0.0227
-0.7423 -0.4394 4.9370
Lu O Sm
1 1 3
direct
0.5000 0.5000 0.5000
0.0000 0.0000 0.0000
0.0000 0.5000 0.0000
0.0000 0.0000 0.5000
0.5000 0.0000 0.0000
```

***

Below is a relaxed structure of LuSnO2, with properties calculated at the PBE level.

Cell and atoms, written as POSCAR:
```
LuSnO2
1.0
-0.4338 -3.0260 -1.4376
1.4861 -2.7285 1.3260
-5.1389 -2.9983 3.8928
Lu Sn O
1 1 2
direct
0.5000 0.5000 0.5000
0.0000 0.0000 0.0000
0.1140 0.1140 0.6581
0.8860 0.8860 0.3419
```

***

Below is a relaxed structure of Lu3Sn5O12, with properties calculated at the PBE level.

Cell and atoms, written as POSCAR:
```
Lu3Sn5O12
1.0
-7.9325 -7.8717 2.3479
2.7962 -0.5935 -11.0558
9.2739 -1.9205 6.3803
Lu Sn O
12 20 48
direct
0.7500 0.3750 0.1250
0.8750 0.7500 0.1250
0.3750 0.7500 0.6250
0.2500 0.1250 0.3750
0.8750 0.1250 0.2500
0.3750 0.6250 0.2500
0.6250 0.3750 0.7500
0.1250 0.8750 0.7500
0.7500 0.8750 0.6250
0.6250 0.2500 0.3750
0.1250 0.2500 0.8750
0.2500 0.6250 0.8750
0.1250 0.3750 0.2500
0.0000 0.5000 0.0000
0.0000 0.0000 0.0000
0.3750 0.2500 0.1250
0.5000 0.0000 0.5000
0.5000 0.5000 0.0000
0.1250 0.7500 0.3750
0.7500 0.1250 0.8750
0.7500 0.6250 0.3750
0.3750 0.1250 0.7500
0.6250 0.8750 0.2500
0.5000 0.5000 0.5000
0.5000 0.0000 0.0000
0.0000 0.0000 0.5000
0.2500 0.3750 0.6250
0.2500 0.8750 0.1250
0.0000 0.5000 0.5000
0.8750 0.2500 0.6250
0.6250 0.7500 0.8750
0.8750 0.6250 0.7500
0.7147 0.1327 0.0498
0.3351 0.5498 0.4171
0.9502 0.3673 0.2853
0.5498 0.2147 0.1327
0.5820 0.7147 0.6649
0.9502 0.5829 0.1649
0.3351 0.7853 0.4180
0.0829 0.9180 0.1327
0.5829 0.9502 0.6649
0.7147 0.5820 0.1649
0.7853 0.4502 0.3673
0.8351 0.9171 0.0498
0.1327 0.7147 0.5498
0.3673 0.4171 0.0820
0.0820 0.9171 0.3673
0.4180 0.1327 0.5829
0.0820 0.1649 0.2147
0.4502 0.6649 0.0829
0.8351 0.9180 0.2853
0.1327 0.4180 0.0829
0.3673 0.9502 0.7853
0.5829 0.6327 0.4180
0.9171 0.8351 0.5498
0.7853 0.3351 0.9180
0.4171 0.3673 0.5820
0.0829 0.1649 0.4502
0.2147 0.6649 0.0820
0.1649 0.0820 0.7147
0.6327 0.0498 0.2147
0.8673 0.5820 0.9171
0.5498 0.3351 0.9171
0.5820 0.8673 0.4171
0.9180 0.8351 0.7853
0.9180 0.0829 0.6327
0.8673 0.2853 0.4502
0.1649 0.0829 0.9502
0.6327 0.5829 0.9180
0.4171 0.0498 0.3351
0.2853 0.4180 0.8351
0.2147 0.5498 0.6327
0.9171 0.0820 0.8673
0.6649 0.2147 0.5820
0.4502 0.7853 0.8673
0.0498 0.4171 0.8351
0.4180 0.2853 0.3351
0.0498 0.6327 0.7147
0.6649 0.4502 0.5829
0.2853 0.8673 0.9502
```

***

Below is a relaxed structure of Lu2Sn2O7, with properties calculated at the PBE level.

Cell and atoms, written as POSCAR:
```
Lu2Sn2O7
1.0
-0.8218 7.2387 -0.8413
-0.9579 2.8277 -6.6985
-6.5211 2.7514 -1.9205
Lu Sn O
4 4 14
direct
0.1250 0.1250 0.6250
0.1250 0.6250 0.1250
0.6250 0.1250 0.1250
0.1250 0.1250 0.1250
0.6250 0.6250 0.1250
0.6250 0.1250 0.6250
0.1250 0.6250 0.6250
0.6250 0.6250 0.6250
0.2500 0.2500 0.2500
0.0000 0.0000 0.0000
0.5325 0.9675 0.5325
0.2825 0.7175 0.2825
0.5325 0.5325 0.9675
0.9675 0.5325 0.5325
0.5325 0.9675 0.9675
0.9675 0.9675 0.5325
0.9675 0.5325 0.9675
0.7175 0.2825 0.2825
0.2825 0.7175 0.7175
0.7175 0.2825 0.7175
0.2825 0.2825 0.7175
0.7175 0.7175 0.2825
```

***

SrLu2O4 (PBE, relaxed); energy above the lowest structure with this stoichiometry = 0.0 meV per atom
1.0
-2.5331 -2.0703 0.6758
5.9976 -5.4026 5.9295
-3.0310 6.7031 9.1733
Sr Lu O
4 8 16
direct
0.7500 0.2458 0.6501
0.2500 0.2542 0.1501
0.7500 0.7458 0.8499
0.2500 0.7542 0.3499
0.7500 0.0727 0.8878
0.7500 0.0787 0.3913
0.2500 0.4213 0.8913
0.2500 0.4273 0.3878
0.7500 0.5727 0.6122
0.7500 0.5787 0.1087
0.2500 0.9213 0.6087
0.2500 0.9273 0.1122
0.2500 0.0189 0.2834
0.7500 0.0751 0.0756
0.2500 0.1207 0.5206
0.2500 0.2092 0.8324
0.7500 0.2908 0.3324
0.7500 0.3793 0.0206
0.2500 0.4249 0.5756
0.7500 0.4811 0.7834
0.2500 0.5189 0.2166
0.7500 0.5751 0.4244
0.2500 0.6207 0.9794
0.2500 0.7092 0.6676
0.7500 0.7908 0.1676
0.7500 0.8793 0.4794
0.2500 0.9249 0.9244
0.7500 0.9811 0.7166

***

SrLu2O4 (PBE, relaxed); energy above the lowest structure with this stoichiometry = 9.9 meV per atom
1.0
6.8095 0.0000 0.0000
3.4048 5.8972 0.0000
3.4048 1.9657 5.5600
Sr Lu O
2 4 8
direct
0.5000 0.5000 0.5000
0.7500 0.7500 0.7500
0.1250 0.1250 0.6250
0.1250 0.6250 0.1250
0.1250 0.1250 0.1250
0.6250 0.1250 0.1250
0.3204 0.8932 0.8932
0.3568 0.9296 0.3568
0.3568 0.3568 0.3568
0.8932 0.8932 0.3204
0.3568 0.3568 0.9296
0.8932 0.8932 0.8932
0.8932 0.3204 0.8932
0.9296 0.3568 0.3568

***

SrLu2O4 (PBE, relaxed); energy above the lowest structure with this stoichiometry = 31.7 meV per atom
1.0
-2.3505 -3.7585 3.6111
4.0204 3.9935 -0.7617
-7.0140 7.7239 3.4737
Sr Lu O
2 4 8
direct
0.3884 0.6116 0.2500
0.6116 0.3884 0.7500
0.8663 0.1337 0.9280
0.8663 0.1337 0.5720
0.1337 0.8663 0.0720
0.1337 0.8663 0.4280
0.5000 0.5000 0.0000
0.5000 0.5000 0.5000
0.9475 0.0525 0.7500
0.7630 0.2370 0.1067
0.7630 0.2370 0.3933
0.2370 0.7630 0.6067
0.2370 0.7630 0.8933
0.0525 0.9475 0.2500

***

Below is a relaxed structure of SrLu2O, with properties calculated at the PBE level.

Cell and atoms, written as POSCAR:
```
SrLu2O
1.0
3.4874 0.0000 0.0000
1.7437 3.0202 0.0000
1.7437 1.0067 9.4268
Sr Lu O
1 2 1
direct
0.0000 0.0000 0.0000
0.1218 0.1218 0.6346
0.8782 0.8782 0.3654
0.5000 0.5000 0.5000
```

***

Below is a relaxed structure of Sr2LuO, with properties calculated at the PBE level.

Cell and atoms, written as POSCAR:
```
Sr2LuO
1.0
-1.9002 -1.1288 2.9020
1.7225 -1.5479 2.8184
1.0787 8.0967 6.1484
Sr Lu O
2 1 1
direct
0.1164 0.1164 0.6509
0.8836 0.8836 0.3491
0.0000 0.0000 0.0000
0.5000 0.5000 0.5000
```

***

Below is a relaxed structure of Sr2LuTaO6, with properties calculated at the PBE level.

Cell and atoms, written as POSCAR:
```
Sr2LuTaO6
1.0
-5.3441 2.1239 -1.2162
-4.3494 -0.5700 3.9124
-2.0095 4.7201 2.8691
Sr Lu O Ta
2 1 6 1
direct
0.2500 0.2500 0.2500
0.7500 0.7500 0.7500
0.0000 0.0000 0.0000
0.2599 0.7401 0.7401
0.7401 0.2599 0.7401
0.2599 0.7401 0.2599
0.7401 0.7401 0.2599
0.7401 0.2599 0.2599
0.2599 0.2599 0.7401
0.5000 0.5000 0.5000
```

***

Below is a relaxed structure of Sr2LuUO6, with properties calculated at the PBE level.

Cell and atoms, written as POSCAR:
```
Sr2LuUO6
1.0
0.0000 4.3004 4.3004
4.3004 0.0000 4.3004
4.3004 4.3004 0.0000
Sr Lu U O
2 1 1 6
direct
0.7500 0.7500 0.7500
0.2500 0.2500 0.2500
0.0000 0.0000 0.0000
0.5000 0.5000 0.5000
0.2517 0.7483 0.7483
0.7483 0.2517 0.2517
0.7483 0.7483 0.2517
0.2517 0.2517 0.7483
0.7483 0.2517 0.7483
0.2517 0.7483 0.2517
```

***

Formation energy without anion corrections (eV/f.u.)
-36.1; -69.1; -5.6; -10.1; -39.5; -28.4; -24.1; -24.0; -23.8; -4.4; -4.1; -31.9; -32.2